5
Lattice="5.7715 0.0000 0.0000 0.0000 5.7715 0.0000 0.0000 0.0000 5.6352" Properties=species:S:1:pos:R:3 comment="TlSnSbTe2 GGA-PBE relaxed" formation_energy_uncorrected_ev_per_fu=3.22 dos_ef_per_ev_atom=1.25 polymorph_energy_ev_per_atom=0.344 pbc="T T T"
Tl 0.0000 0.0000 0.0000
Sn 2.8857 2.8857 2.8176
Sb 0.0000 0.0000 2.8176
Te 0.0000 2.8857 0.0000
Te 2.8857 0.0000 0.0000